A relaxed YMnTe3 crystal. Source: Alexandria via LeMat-Bulk, functional PBE.

Lattice parameters (Å, degrees): 7.854 4.207 8.594 90.00 94.14 90.00
Fractional coordinates of all 10 atoms:
Y  0.120  0.250  0.285
Y  0.880  0.750  0.715
Mn  0.352  0.750  0.836
Mn  0.648  0.250  0.164
Te  0.126  0.250  0.905
Te  0.226  0.750  0.537
Te  0.402  0.750  0.161
Te  0.598  0.250  0.839
Te  0.774  0.250  0.463
Te  0.874  0.750  0.095

Mass density   6176 kg/m³
M_tot   4.0 μB/f.u.
Formation energy without anion corrections   -0.74 eV/atom
Space group   P2_1/m (11)